# 1
The following is a GGA-PBE calculation of LiNpP2N6 after structural relaxation, from Alexandria.

The structure in POSCAR format:
```
LiNpP2N6
1.0
4.966 -4.659 0.000
4.966 4.659 0.000
-1.211 0.000 4.825
Li Np P N
2 2 4 12
direct
0.072 0.928 0.750 Li
0.928 0.072 0.250 Li
0.283 0.717 0.250 Np
0.717 0.283 0.750 Np
0.204 0.372 0.723 P
0.372 0.204 0.223 P
0.628 0.796 0.777 P
0.796 0.628 0.277 P
0.011 0.237 0.651 N
0.158 0.601 0.880 N
0.237 0.011 0.151 N
0.291 0.396 0.440 N
0.396 0.291 0.940 N
0.399 0.842 0.620 N
0.601 0.158 0.380 N
0.604 0.709 0.060 N
0.709 0.604 0.560 N
0.763 0.989 0.849 N
0.842 0.399 0.120 N
0.989 0.763 0.349 N
```

Results
Uncorrected formation energy, eV per atom: -0.489
Calculated density, g cm⁻³: 5.8
N(E_F), states/eV/atom: 0.0115

# 2
The following is a GGA-PBE calculation of Li4Np3PN8 after structural relaxation, from Alexandria.

The structure in POSCAR format:
```
Li4Np3PN8
1.0
3.347 1.932 5.030
-3.347 1.932 5.030
0.000 -3.864 5.030
Li Np P N
4 3 1 8
direct
0.000 0.000 0.000 Li
0.000 0.500 0.500 Li
0.500 0.000 0.500 Li
0.500 0.500 0.000 Li
0.000 0.000 0.500 Np
0.000 0.500 0.000 Np
0.500 0.000 0.000 Np
0.500 0.500 0.500 P
0.229 0.739 0.739 N
0.239 0.239 0.239 N
0.261 0.261 0.771 N
0.261 0.771 0.261 N
0.739 0.229 0.739 N
0.739 0.739 0.229 N
0.761 0.761 0.761 N
0.771 0.261 0.261 N
```

Results
Uncorrected formation energy, eV per atom: -0.602
Calculated density, g cm⁻³: 7.5
N(E_F), states/eV/atom: 0.7791

# 3
The following is a GGA-PBE calculation of LiNp4PaN8 after structural relaxation, from Alexandria.

The structure in POSCAR format:
```
LiNp4PaN8
1.0
3.458 1.996 5.088
-3.458 1.996 5.088
0.000 -3.993 5.088
Li Np Pa N
1 4 1 8
direct
0.000 0.000 0.000 Li
0.003 0.003 0.506 Np
0.003 0.506 0.003 Np
0.385 0.385 0.385 Np
0.506 0.003 0.003 Np
0.609 0.609 0.609 Pa
0.217 0.765 0.765 N
0.242 0.242 0.242 N
0.268 0.268 0.785 N
0.268 0.785 0.268 N
0.757 0.757 0.757 N
0.765 0.217 0.765 N
0.765 0.765 0.217 N
0.785 0.268 0.268 N
```

Results
Uncorrected formation energy, eV per atom: -1.018
Calculated density, g cm⁻³: 10.2
N(E_F), states/eV/atom: 1.6923

# 4
The following is a GGA-PBE calculation of LiNpPa2N5 after structural relaxation, from Alexandria.

The structure in POSCAR format:
```
LiNpPa2N5
1.0
1.710 -6.536 0.000
1.710 6.536 0.000
0.000 0.000 10.344
Li Np Pa N
2 2 4 10
direct
0.006 0.994 0.500 Li
0.994 0.006 0.000 Li
0.308 0.692 0.024 Np
0.692 0.308 0.524 Np
0.370 0.630 0.316 Pa
0.384 0.616 0.707 Pa
0.616 0.384 0.207 Pa
0.630 0.370 0.816 Pa
0.012 0.988 0.803 N
0.148 0.852 0.038 N
0.196 0.804 0.369 N
0.211 0.789 0.676 N
0.456 0.544 0.088 N
0.544 0.456 0.588 N
0.789 0.211 0.176 N
0.804 0.196 0.869 N
0.852 0.148 0.538 N
0.988 0.012 0.303 N
```

Results
Uncorrected formation energy, eV per atom: -1.177
Calculated density, g cm⁻³: 11.1
N(E_F), states/eV/atom: 0.6669

# 5
The following is a GGA-PBE calculation of LiNpPaN3 after structural relaxation, from Alexandria.

The structure in POSCAR format:
```
LiNpPaN3
1.0
6.838 0.000 0.000
0.000 3.356 0.000
-1.292 0.000 7.083
Li Np Pa N
2 2 2 6
direct
0.080 0.250 0.073 Li
0.920 0.750 0.927 Li
0.294 0.750 0.831 Np
0.706 0.250 0.169 Np
0.301 0.750 0.343 Pa
0.699 0.250 0.657 Pa
0.017 0.250 0.801 N
0.361 0.250 0.585 N
0.365 0.250 0.121 N
0.635 0.750 0.879 N
0.639 0.750 0.415 N
0.983 0.750 0.199 N
```

Results
Uncorrected formation energy, eV per atom: -1.047
Calculated density, g cm⁻³: 10.6
N(E_F), states/eV/atom: 1.4745

# 6
The following is a GGA-PBE calculation of Li2Np2PaN6 after structural relaxation, from Alexandria.

The structure in POSCAR format:
```
Li2Np2PaN6
1.0
2.925 1.689 5.976
-2.925 1.689 5.976
0.000 -3.377 5.976
Li Np Pa N
2 2 1 6
direct
0.075 0.075 0.075 Li
0.925 0.925 0.925 Li
0.324 0.324 0.324 Np
0.676 0.676 0.676 Np
0.500 0.500 0.500 Pa
0.258 0.258 0.690 N
0.258 0.690 0.258 N
0.310 0.742 0.742 N
0.690 0.258 0.258 N
0.742 0.310 0.742 N
0.742 0.742 0.310 N
```

Results
Uncorrected formation energy, eV per atom: -0.552
Calculated density, g cm⁻³: 7.5
N(E_F), states/eV/atom: 0.6028

# 7
The following is a GGA-PBE calculation of LiNp3Pa2N6 after structural relaxation, from Alexandria.

The structure in POSCAR format:
```
LiNp3Pa2N6
1.0
2.966 -5.146 0.000
2.966 5.146 0.000
-1.954 0.000 5.709
Li Np Pa N
1 3 2 6
direct
0.000 0.000 0.000 Li
0.159 0.841 0.500 Np
0.500 0.500 0.500 Np
0.841 0.159 0.500 Np
0.333 0.667 0.000 Pa
0.667 0.333 0.000 Pa
0.086 0.436 0.255 N
0.264 0.264 0.761 N
0.436 0.086 0.255 N
0.564 0.914 0.745 N
0.736 0.736 0.239 N
0.914 0.564 0.745 N
```

Results
Uncorrected formation energy, eV per atom: -1.172
Calculated density, g cm⁻³: 12.0
N(E_F), states/eV/atom: 1.7009

# 8
The following is a GGA-PBE calculation of Li3Np2PaN6 after structural relaxation, from Alexandria.

The structure in POSCAR format:
```
Li3Np2PaN6
1.0
7.170 -1.743 0.000
7.170 1.743 0.000
-0.681 0.000 6.374
Li Np Pa N
3 2 1 6
direct
0.000 0.000 0.000 Li
0.319 0.319 0.651 Li
0.681 0.681 0.349 Li
0.333 0.333 0.159 Np
0.667 0.667 0.841 Np
0.000 0.000 0.500 Pa
0.160 0.160 0.614 N
0.179 0.179 0.066 N
0.486 0.486 0.267 N
0.514 0.514 0.733 N
0.821 0.821 0.934 N
0.840 0.840 0.386 N
```

Results
Uncorrected formation energy, eV per atom: -1.027
Calculated density, g cm⁻³: 8.4
N(E_F), states/eV/atom: 0.9903